# Cs2TlHg4Au2 (PBE, relaxed)
data_Cs2TlHg4Au2
_cell_length_a 5.000
_cell_length_b 7.555
_cell_length_c 9.015
_cell_angle_alpha 93.09
_cell_angle_beta 90.23
_cell_angle_gamma 108.92
_space_group_name_H-M_alt 'P -1'
_space_group_IT_number 2
loop_
_space_group_symop_operation_xyz
'x,y,z'
'-x,-y,-z'
loop_
_atom_site_label
_atom_site_type_symbol
_atom_site_fract_x
_atom_site_fract_y
_atom_site_fract_z
Cs1 Cs 0.136 0.276 0.188
Tl1 Tl 0.500 0.000 0.500
Hg1 Hg 0.125 0.253 0.669
Hg2 Hg 0.427 0.851 0.133
Au1 Au 0.298 0.597 0.504
# **Energy of formation**: -0.17 eV per atom

---

# La4MgIn2 (PBE, relaxed)
data_La4MgIn2
_cell_length_a 5.5163
_cell_length_b 5.5163
_cell_length_c 26.5057
_cell_angle_alpha 90.00
_cell_angle_beta 90.00
_cell_angle_gamma 120.00
_space_group_name_H-M_alt 'R -3 m'
_space_group_IT_number 166
_space_group_name_Hall '-R 3 2"'
loop_
_atom_site_label
_atom_site_type_symbol
_atom_site_fract_x
_atom_site_fract_y
_atom_site_fract_z
La1 La 0.0000 0.0000 0.1155
La2 La 0.0000 0.0000 0.3681
Mg1 Mg 0.0000 0.0000 0.5000
In1 In 0.0000 0.0000 0.2432
# **Energy of formation**: -0.29 eV per atom

---

# BaCrBr2 (PBE, relaxed)
data_BaCrBr2
_cell_length_a 4.080
_cell_length_b 4.080
_cell_length_c 7.795
_cell_angle_alpha 90.00
_cell_angle_beta 90.00
_cell_angle_gamma 90.00
_space_group_name_H-M_alt 'P 4/m m m'
_space_group_IT_number 123
_space_group_name_Hall '-P 4 2'
loop_
_atom_site_label
_atom_site_type_symbol
_atom_site_fract_x
_atom_site_fract_y
_atom_site_fract_z
Ba1 Ba 0.000 0.000 0.000
Cr1 Cr 0.000 0.000 0.500
Br1 Br 0.500 0.500 0.232
# **Energy relative to the elements, uncorrected**: -0.631 eV/atom

---

# MnZnIn4 (PBE, relaxed)
data_MnZnIn4
_cell_length_a 8.507
_cell_length_b 8.507
_cell_length_c 8.507
_cell_angle_alpha 90.00
_cell_angle_beta 90.00
_cell_angle_gamma 90.00
_space_group_name_H-M_alt 'F -4 3 m'
_space_group_IT_number 216
_space_group_name_Hall 'F -4 2 3'
loop_
_atom_site_label
_atom_site_type_symbol
_atom_site_fract_x
_atom_site_fract_y
_atom_site_fract_z
Mn1 Mn 0.000 0.000 0.000
Zn1 Zn 0.250 0.250 0.750
In1 In 0.125 0.125 0.375
# **Energy of formation**: 0.49 eV per atom

---

# MnIn4S6 (PBE, relaxed)
data_MnIn4S6
_cell_length_a 12.725
_cell_length_b 8.200
_cell_length_c 12.433
_cell_angle_alpha 90.00
_cell_angle_beta 115.09
_cell_angle_gamma 90.00
_space_group_name_H-M_alt 'C 1 c 1'
_space_group_IT_number 9
loop_
_space_group_symop_operation_xyz
'x,y,z'
'x,-y,z+1/2'
'x+1/2,y+1/2,z'
'x+1/2,-y+1/2,z+1/2'
loop_
_atom_site_label
_atom_site_type_symbol
_atom_site_fract_x
_atom_site_fract_y
_atom_site_fract_z
Mn1 Mn 0.000 0.238 0.000
In1 In 0.082 0.068 0.787
In2 In 0.211 0.486 0.320
In3 In 0.325 0.059 0.147
In4 In 0.452 0.237 0.939
S1 S 0.108 0.215 0.373
S2 S 0.181 0.229 0.986
S3 S 0.268 0.165 0.748
S4 S 0.395 0.293 0.291
S5 S 0.452 0.484 0.062
S6 S 0.485 0.000 0.082
# **Energy relative to the elements, uncorrected**: -0.463 eV/atom

---

# La2TlReBr (PBE, relaxed)
data_La2TlReBr
_cell_length_a 6.074
_cell_length_b 6.074
_cell_length_c 5.061
_cell_angle_alpha 90.00
_cell_angle_beta 90.00
_cell_angle_gamma 90.00
_space_group_name_H-M_alt 'P 4/m m m'
_space_group_IT_number 123
_space_group_name_Hall '-P 4 2'
loop_
_atom_site_label
_atom_site_type_symbol
_atom_site_fract_x
_atom_site_fract_y
_atom_site_fract_z
La1 La 0.000 0.500 0.000
Tl1 Tl 0.000 0.000 0.000
Re1 Re 0.000 0.000 0.500
Br1 Br 0.500 0.500 0.500
# **Energy relative to the elements, uncorrected**: 0.805 eV/atom

---

# Na2ZnPt2 (PBE, relaxed)
data_Na2ZnPt2
_cell_length_a 4.103
_cell_length_b 5.507
_cell_length_c 9.064
_cell_angle_alpha 90.00
_cell_angle_beta 90.00
_cell_angle_gamma 90.00
_space_group_name_H-M_alt 'I m m m'
_space_group_IT_number 71
_space_group_name_Hall '-I 2 2'
loop_
_atom_site_label
_atom_site_type_symbol
_atom_site_fract_x
_atom_site_fract_y
_atom_site_fract_z
Na1 Na 0.000 0.000 0.205
Zn1 Zn 0.000 0.500 0.000
Pt1 Pt 0.000 0.263 0.500
# **Energy of formation**: -0.31 eV per atom

---

# KLa2Mg (PBE, relaxed)
data_KLa2Mg
_cell_length_a 8.410
_cell_length_b 8.410
_cell_length_c 8.410
_cell_angle_alpha 90.00
_cell_angle_beta 90.00
_cell_angle_gamma 90.00
_space_group_name_H-M_alt 'F -4 3 m'
_space_group_IT_number 216
_space_group_name_Hall 'F -4 2 3'
loop_
_atom_site_label
_atom_site_type_symbol
_atom_site_fract_x
_atom_site_fract_y
_atom_site_fract_z
K1 K 0.000 0.000 0.000
La1 La 0.000 0.000 0.500
La2 La 0.250 0.250 0.750
Mg1 Mg 0.250 0.250 0.250
# **Energy of formation**: 0.41 eV per atom

---

Number 1: uncorrected energy -1.486 eV per atom. Number 2: uncorrected energy -4.113 eV per atom. Number 3: uncorrected energy -4.354 eV per atom. Number 4: uncorrected energy -3.074 eV per atom. Number 5: uncorrected energy -4.544 eV per atom. Number 6: uncorrected energy -4.463 eV per atom. Number 7: uncorrected energy -3.508 eV per atom. Number 8: uncorrected energy -2.724 eV per atom.